# NbMoNO2

A relaxed NbMoNO2 crystal (PBE+U, Alexandria).

Structure (POSCAR):
```
NbMoNO2
1.0
3.957 0.000 0.000
0.000 3.957 0.000
0.000 0.000 4.245
Nb Mo N O
1 1 1 2
direct
0.000 0.000 0.000
0.500 0.500 0.500
0.000 0.000 0.500
0.000 0.500 0.000
0.500 0.000 0.000
```

Calculated values
Space-group type: P4/mmm, No. 123
Volume, Å³/atom: 13.30
Energy, eV/atom: -8.002
D(E_F), states/eV/f.u.: 0.69